GaGeIBr2 after structural relaxation. Source: Alexandria via LeMat-Bulk, functional PBE.

Calculated values
**Formation energy (no corrections)**: -0.621 eV per formula unit

Cell: 5.1977 5.1977 5.8425 Å, 90.00 90.00 90.00°
With the nearest neighbours (Å) after each atom.
Fractional positions:
Ga (0.0000, 0.0000, 0.0000)  2 Ge 2.92
Ge (0.0000, 0.0000, 0.5000)  4 Br 2.60
I (0.5000, 0.5000, 0.0000)  4 Ga 3.68, 8 Br 3.91
Br (0.0000, 0.5000, 0.5000)  2 Ge 2.60
Br (0.5000, 0.0000, 0.5000)  2 Ge 2.60


BaCd2GaRh after structural relaxation. Source: Alexandria via LeMat-Bulk, functional PBE.

Calculated values
**E_form**: -0.372 eV per atom

Cell: 5.2783 5.2783 4.8356 Å, 90.00 90.00 90.00°
With the nearest neighbours (Å) after each atom.
Fractional positions:
Ba (0.0000, 0.0000, 0.0000)  8 Cd 3.58, 4 Ga 3.73
Cd (0.0000, 0.5000, 0.5000)  2 Rh 2.64
Cd (0.5000, 0.0000, 0.5000)  2 Rh 2.64
Ga (0.5000, 0.5000, 0.0000)  2 Rh 2.42
Rh (0.5000, 0.5000, 0.5000)  2 Ga 2.42, 4 Cd 2.64


Y2ErSbC after structural relaxation. Source: Alexandria via LeMat-Bulk, functional PBE.

Calculated values
**Formation energy (no corrections)**: -3.208 eV per formula unit

Cell: 4.8832 4.8832 4.8213 Å, 90.00 90.00 90.00°
With the nearest neighbours (Å) after each atom.
Fractional positions:
Y (0.0000, 0.5000, 0.0000)  2 C 2.44
Y (0.5000, 0.0000, 0.0000)  2 C 2.44
Er (0.0000, 0.0000, 0.5000)  2 C 2.41
Sb (0.5000, 0.5000, 0.5000)  8 Y 3.43, 4 Er 3.45
C (0.0000, 0.0000, 0.0000)  2 Er 2.41, 4 Y 2.44


PmSmDySn after structural relaxation. Source: Alexandria via LeMat-Bulk, functional PBE.

Calculated values
**E_form**: -0.232 eV per atom

Cell: 5.4778 5.4778 5.4778 Å, 60.00 60.00 60.00°
With the nearest neighbours (Å) after each atom.
Fractional positions:
Pm (0.0000, 0.0000, 0.0000)  4 Dy 3.35, 4 Sm 3.35
Sm (0.2500, 0.2500, 0.2500)  4 Sn 3.35, 4 Pm 3.35
Dy (0.7500, 0.7500, 0.7500)  4 Sn 3.35, 4 Pm 3.35
Sn (0.5000, 0.5000, 0.5000)  4 Dy 3.35, 4 Sm 3.35


LaPmY6Tm2 after structural relaxation. Source: Alexandria via LeMat-Bulk, functional PBE.

Calculated values
**E_form**: 0.120 eV per atom

Cell: 8.8398 8.8398 9.4688 Å, 92.78 92.78 116.23°
With the nearest neighbours (Å) after each atom.
Fractional positions:
La (0.0372, 0.9628, 0.7500)  4 Tm 3.38-3.55, 6 Y 3.54-3.72
La (0.9628, 0.0372, 0.2500)  4 Tm 3.38-3.55, 6 Y 3.54-3.72
Pm (0.4118, 0.5882, 0.2500)  6 Y 3.45-3.47, 2 Tm 3.53
Pm (0.5882, 0.4118, 0.7500)  6 Y 3.45-3.47, 2 Tm 3.53
Y (0.0090, 0.5536, 0.6791)  3 Y 3.25-3.61, 2 Tm 3.45-3.53, 1 Pm 3.47, 1 La 3.54
Y (0.1138, 0.7591, 0.0579)  7 Y 3.43-3.82, 1 Tm 3.49, 2 La 3.69-3.72
Y (0.2409, 0.8862, 0.4421)  7 Y 3.43-3.82, 1 Tm 3.49, 2 La 3.69-3.72
Y (0.2936, 0.5221, 0.8893)  4 Y 3.25-3.51, 3 Tm 3.33-3.50, 2 Pm 3.45-3.47
Y (0.4464, 0.9910, 0.8209)  3 Y 3.25-3.61, 2 Tm 3.45-3.53, 1 Pm 3.47, 1 La 3.54
Y (0.4779, 0.7064, 0.6107)  4 Y 3.25-3.51, 3 Tm 3.33-3.50, 2 Pm 3.45-3.47
Y (0.5221, 0.2936, 0.3893)  4 Y 3.25-3.51, 3 Tm 3.33-3.50, 2 Pm 3.45-3.47
Y (0.5536, 0.0090, 0.1791)  3 Y 3.25-3.61, 2 Tm 3.45-3.53, 1 Pm 3.47, 1 La 3.54
Y (0.7064, 0.4779, 0.1107)  4 Y 3.25-3.51, 3 Tm 3.33-3.50, 2 Pm 3.45-3.47
Y (0.7591, 0.1138, 0.5579)  7 Y 3.43-3.82, 1 Tm 3.49, 2 La 3.69-3.72
Y (0.8862, 0.2409, 0.9421)  7 Y 3.43-3.82, 1 Tm 3.49, 2 La 3.69-3.72
Y (0.9910, 0.4464, 0.3209)  3 Y 3.25-3.61, 2 Tm 3.45-3.53, 1 Pm 3.47, 1 La 3.54
Tm (0.1990, 0.3011, 0.5547)  6 Y 3.33-3.53, 2 La 3.38-3.55, 1 Pm 3.53
Tm (0.3011, 0.1990, 0.0547)  6 Y 3.33-3.53, 2 La 3.38-3.55, 1 Pm 3.53
Tm (0.6989, 0.8010, 0.9453)  6 Y 3.33-3.53, 2 La 3.38-3.55, 1 Pm 3.53
Tm (0.8010, 0.6989, 0.4453)  6 Y 3.33-3.53, 2 La 3.38-3.55, 1 Pm 3.53


CaErAgCl6 after structural relaxation. Source: Alexandria via LeMat-Bulk, functional PBE.

Calculated values
**Formation energy (no corrections)**: -17.067 eV per formula unit

Cell: 6.8933 6.8933 12.0944 Å, 90.00 90.00 120.00°
With the nearest neighbours (Å) after each atom.
Fractional positions:
Ca (0.3333, 0.6667, 0.2500)  6 Cl 2.75
Ca (0.6667, 0.3333, 0.7500)  6 Cl 2.75
Er (0.3333, 0.6667, 0.7500)  6 Cl 2.63
Er (0.6667, 0.3333, 0.2500)  6 Cl 2.63
Ag (0.0000, 0.0000, 0.0000)  6 Cl 2.85
Ag (0.0000, 0.0000, 0.5000)  6 Cl 2.85
Cl (0.0136, 0.3533, 0.6285)  1 Er 2.63, 1 Ca 2.75, 1 Ag 2.85
Cl (0.0136, 0.6603, 0.8715)  1 Er 2.63, 1 Ca 2.75, 1 Ag 2.85
Cl (0.3397, 0.3533, 0.8715)  1 Er 2.63, 1 Ca 2.75, 1 Ag 2.85
Cl (0.3397, 0.9864, 0.6285)  1 Er 2.63, 1 Ca 2.75, 1 Ag 2.85
Cl (0.3533, 0.0136, 0.1285)  1 Er 2.63, 1 Ca 2.75, 1 Ag 2.85
Cl (0.3533, 0.3397, 0.3715)  1 Er 2.63, 1 Ca 2.75, 1 Ag 2.85
Cl (0.6467, 0.6603, 0.6285)  1 Er 2.63, 1 Ca 2.75, 1 Ag 2.85
Cl (0.6467, 0.9864, 0.8715)  1 Er 2.63, 1 Ca 2.75, 1 Ag 2.85
Cl (0.6603, 0.0136, 0.3715)  1 Er 2.63, 1 Ca 2.75, 1 Ag 2.85
Cl (0.6603, 0.6467, 0.1285)  1 Er 2.63, 1 Ca 2.75, 1 Ag 2.85
Cl (0.9864, 0.3397, 0.1285)  1 Er 2.63, 1 Ca 2.75, 1 Ag 2.85
Cl (0.9864, 0.6467, 0.3715)  1 Er 2.63, 1 Ca 2.75, 1 Ag 2.85


TlInHg5 after structural relaxation. Source: Alexandria via LeMat-Bulk, functional PBE.

Calculated values
**Energy above the most stable polymorph in this dataset**: 0.0 meV/atom
**E_form**: 0.018 eV per atom

Cell: 5.4846 5.4846 6.9820 Å, 90.00 90.00 90.00°
With the nearest neighbours (Å) after each atom.
Fractional positions:
Tl (0.0000, 0.0000, 0.0000)  8 Hg 3.22, 2 In 3.49
In (0.0000, 0.0000, 0.5000)  8 Hg 3.28, 2 Tl 3.49
Hg (0.0000, 0.5000, 0.2430)  2 Tl 3.22, 4 Hg 3.28-3.59, 2 In 3.28
Hg (0.0000, 0.5000, 0.7570)  2 Tl 3.22, 4 Hg 3.28-3.59, 2 In 3.28
Hg (0.5000, 0.0000, 0.2430)  2 Tl 3.22, 4 Hg 3.28-3.59, 2 In 3.28
Hg (0.5000, 0.0000, 0.7570)  2 Tl 3.22, 4 Hg 3.28-3.59, 2 In 3.28
Hg (0.5000, 0.5000, 0.5000)  8 Hg 3.28


Cr4Pt5 after structural relaxation. Source: Alexandria via LeMat-Bulk, functional PBE.

Calculated values
**Energy above the most stable polymorph in this dataset**: 23.9 meV/atom
**E_form**: -0.136 eV per atom

Cell: 7.5460 7.5460 5.4345 Å, 90.00 90.00 120.00°
With the nearest neighbours (Å) after each atom.
Fractional positions:
Cr (0.0000, 0.0000, 0.0000)  8 Cr 2.72-2.87, 6 Pt 2.78
Cr (0.0000, 0.0000, 0.5000)  8 Cr 2.72-2.87, 6 Pt 2.78
Cr (0.0000, 0.3354, 0.2500)  5 Pt 2.48-2.72
Cr (0.0000, 0.6646, 0.7500)  5 Pt 2.48-2.72
Cr (0.3354, 0.0000, 0.2500)  5 Pt 2.48-2.72
Cr (0.3354, 0.3354, 0.7500)  5 Pt 2.48-2.72
Cr (0.6646, 0.0000, 0.7500)  5 Pt 2.48-2.72
Cr (0.6646, 0.6646, 0.2500)  5 Pt 2.48-2.72
Pt (0.0000, 0.3209, 0.7500)  5 Cr 2.48-2.72
Pt (0.0000, 0.6791, 0.2500)  5 Cr 2.48-2.72
Pt (0.3209, 0.0000, 0.7500)  5 Cr 2.48-2.72
Pt (0.3209, 0.3209, 0.2500)  5 Cr 2.48-2.72
Pt (0.3333, 0.6667, 0.0000)  8 Pt 2.72-2.90, 6 Cr 2.85
Pt (0.3333, 0.6667, 0.5000)  8 Pt 2.72-2.90, 6 Cr 2.85
Pt (0.6667, 0.3333, 0.0000)  8 Pt 2.72-2.90, 6 Cr 2.85
Pt (0.6667, 0.3333, 0.5000)  8 Pt 2.72-2.90, 6 Cr 2.85
Pt (0.6791, 0.0000, 0.2500)  5 Cr 2.48-2.72
Pt (0.6791, 0.6791, 0.7500)  5 Cr 2.48-2.72


AcLaTbNd2 after structural relaxation. Source: Alexandria via LeMat-Bulk, functional PBE.

Calculated values
**E_form**: 0.231 eV per atom

Cell: 9.1451 6.6929 6.6428 Å, 90.00 109.33 90.00°
With the nearest neighbours (Å) after each atom.
Fractional positions:
Ac (0.0000, 0.1650, 0.2500)  8 Nd 3.67-3.87, 2 Ac 3.99
Ac (0.0000, 0.8350, 0.7500)  8 Nd 3.67-3.87, 2 Ac 3.99
La (0.5000, 0.0000, 0.0000)  2 La 3.32, 2 Nd 3.49, 2 Tb 3.66
La (0.5000, 0.0000, 0.5000)  2 La 3.32, 2 Nd 3.49, 2 Tb 3.66
Tb (0.5000, 0.4866, 0.2500)  2 Tb 3.33, 4 Nd 3.35-3.41, 2 La 3.66
Tb (0.5000, 0.5134, 0.7500)  2 Tb 3.33, 4 Nd 3.35-3.41, 2 La 3.66
Nd (0.1862, 0.3277, 0.8386)  1 Nd 3.21, 2 Tb 3.35-3.41, 1 La 3.49
Nd (0.1862, 0.6723, 0.3386)  1 Nd 3.21, 2 Tb 3.35-3.41, 1 La 3.49
Nd (0.8138, 0.3277, 0.6614)  1 Nd 3.21, 2 Tb 3.35-3.41, 1 La 3.49
Nd (0.8138, 0.6723, 0.1614)  1 Nd 3.21, 2 Tb 3.35-3.41, 1 La 3.49


Pr8Ga3SeBr4 after structural relaxation. Source: Alexandria via LeMat-Bulk, functional PBE.

Calculated values
**Formation energy (no corrections)**: -17.333 eV per formula unit

Cell: 8.8146 8.8146 8.8146 Å, 59.17 59.17 59.17°
With the nearest neighbours (Å) after each atom.
Fractional positions:
Pr (0.2347, 0.7428, 0.7428)  2 Ga 2.96, 1 Se 3.01, 3 Br 3.20-3.24
Pr (0.2411, 0.2411, 0.2411)  3 Ga 2.99, 3 Br 3.21
Pr (0.2572, 0.2572, 0.7653)  2 Ga 2.96, 1 Se 3.01, 3 Br 3.20-3.24
Pr (0.2572, 0.7653, 0.2572)  2 Ga 2.96, 1 Se 3.01, 3 Br 3.20-3.24
Pr (0.7428, 0.2347, 0.7428)  2 Ga 2.96, 1 Se 3.01, 3 Br 3.20-3.24
Pr (0.7428, 0.7428, 0.2347)  2 Ga 2.96, 1 Se 3.01, 3 Br 3.20-3.24
Pr (0.7589, 0.7589, 0.7589)  3 Ga 2.99, 3 Br 3.21
Pr (0.7653, 0.2572, 0.2572)  2 Ga 2.96, 1 Se 3.01, 3 Br 3.20-3.24
Ga (0.0000, 0.0000, 0.5000)  6 Pr 2.96-2.99
Ga (0.0000, 0.5000, 0.0000)  6 Pr 2.96-2.99
Ga (0.5000, 0.0000, 0.0000)  6 Pr 2.96-2.99
Se (0.5000, 0.5000, 0.5000)  6 Pr 3.01
Br (0.0000, 0.0000, 0.0000)  6 Pr 3.20
Br (0.0000, 0.5000, 0.5000)  6 Pr 3.21-3.24
Br (0.5000, 0.0000, 0.5000)  6 Pr 3.21-3.24
Br (0.5000, 0.5000, 0.0000)  6 Pr 3.21-3.24